Record 1
# RbInPb4 PBE-GGA optimized geometry
# Volume ... 829.5 Å³/cell
# Calculated total energy ... -3.12 eV per atom
# Calculated formation energy ... -26 meV per atom
# Total magnetic moment ... 0.00 μB/cell
data_RbInPb4
_chemical_formula_sum 'Rb4 In4 Pb16'
_cell_length_a 4.986
_cell_length_b 19.644
_cell_length_c 8.470
_cell_angle_alpha 90.00
_cell_angle_beta 90.00
_cell_angle_gamma 90.00
_symmetry_space_group_name_H-M 'C m c m'
_symmetry_Int_Tables_number 63
_symmetry_space_group_name_Hall '-C 2c 2'
loop_
_atom_site_label
_atom_site_fract_x
_atom_site_fract_y
_atom_site_fract_z
Rb1 0.000 0.120 0.250
In1 0.000 0.230 0.750
Pb1 0.000 0.067 0.750
Pb2 0.000 0.326 0.053
Pb3 0.000 0.500 0.000


Record 2
# Ce6ErS8 PBE-GGA optimized geometry
# Volume ... 1462.8 Å³/cell
# Calculated total energy ... -6.91 eV per atom
# E_form (uncorrected) ... -2033 meV/atom
# Total magnetic moment ... 22.21 μB/cell
data_Ce6ErS8
_chemical_formula_sum 'Ce24 Er4 S32'
_cell_length_a 11.352
_cell_length_b 11.352
_cell_length_c 11.352
_cell_angle_alpha 90.00
_cell_angle_beta 90.00
_cell_angle_gamma 90.00
_symmetry_space_group_name_H-M 'F m -3 m'
_symmetry_Int_Tables_number 225
_symmetry_space_group_name_Hall '-F 4 2 3'
loop_
_atom_site_label
_atom_site_fract_x
_atom_site_fract_y
_atom_site_fract_z
Ce1 0.000 0.250 0.250
Er1 0.000 0.000 0.000
S1 0.000 0.000 0.243
S2 0.250 0.250 0.250


Record 3
# CrCo2 PBE-GGA optimized geometry
# Volume ... 140.4 Å³/cell
# Calculated total energy ... -7.58 eV per atom
# Calculated formation energy ... 360 meV per atom
# Total magnetic moment ... 0.07 μB/cell
data_CrCo2
_chemical_formula_sum 'Cr4 Co8'
_cell_length_a 2.440
_cell_length_b 3.664
_cell_length_c 15.705
_cell_angle_alpha 90.00
_cell_angle_beta 90.00
_cell_angle_gamma 90.00
_symmetry_space_group_name_H-M 'I m m a'
_symmetry_Int_Tables_number 74
_symmetry_space_group_name_Hall '-I 2b 2'
loop_
_atom_site_label
_atom_site_fract_x
_atom_site_fract_y
_atom_site_fract_z
Cr1 0.000 0.250 0.109
Co1 0.000 0.250 0.542
Co2 0.000 0.250 0.689


Record 4
# TcHg2Os PBE-GGA optimized geometry
# Volume ... 220.7 Å³/cell
# Calculated total energy ... -5.16 eV per atom
# Calculated formation energy ... 393 meV per atom
# Total magnetic moment ... 0.00 μB/cell
data_TcHg2Os
_chemical_formula_sum 'Tc3 Hg6 Os3'
_cell_length_a 2.8737
_cell_length_b 2.8737
_cell_length_c 30.8527
_cell_angle_alpha 90.00
_cell_angle_beta 90.00
_cell_angle_gamma 120.00
_symmetry_space_group_name_H-M 'R 3 m'
_symmetry_Int_Tables_number 160
_symmetry_space_group_name_Hall 'R 3 -2"'
loop_
_atom_site_label
_atom_site_fract_x
_atom_site_fract_y
_atom_site_fract_z
Tc1 0.0000 0.0000 0.0000
Hg1 0.0000 0.0000 0.5182
Hg2 0.0000 0.0000 0.7497
Os1 0.0000 0.0000 0.2695